Entry from Alexandria via LeMat-Bulk: a relaxed Pu3PaSi4 crystal (GGA-PBE).

Computed properties:
Energy = -9.46 eV per atom
Energy relative to the elements, uncorrected = -183 meV per atom
Volume = 21.73 Å³/atom

```
data_Pu3PaSi4
_chemical_formula_sum 'Pu3 Pa1 Si4'
_cell_length_a 9.436
_cell_length_b 9.436
_cell_length_c 9.436
_cell_angle_alpha 160.43
_cell_angle_beta 141.77
_cell_angle_gamma 43.30
_symmetry_space_group_name_H-M 'P 1'
_symmetry_Int_Tables_number 1
_symmetry_space_group_name_Hall 'P 1'
loop_
_atom_site_label
_atom_site_type_symbol
_atom_site_fract_x
_atom_site_fract_y
_atom_site_fract_z
Pu1 Pu 0.000 0.000 0.000
Pu2 Pu 0.286 0.786 0.500
Pu3 Pu 0.714 0.214 0.500
Pa1 Pa 0.500 0.500 0.000
Si1 Si 0.065 0.372 0.694
Si2 Si 0.322 0.628 0.694
Si3 Si 0.678 0.372 0.306
Si4 Si 0.935 0.628 0.306
```

Entry from Alexandria via LeMat-Bulk: a relaxed KPb3 crystal (GGA-PBE).

Computed properties:
Energy = -3.07 eV per atom
Energy of formation from the pure elements = -10 meV/atom
Volume = 33.23 Å³/atom

```
data_KPb3
_chemical_formula_sum 'K1 Pb3'
_cell_length_a 6.839
_cell_length_b 6.839
_cell_length_c 6.839
_cell_angle_alpha 117.35
_cell_angle_beta 117.35
_cell_angle_gamma 117.35
_symmetry_space_group_name_H-M 'P 1'
_symmetry_Int_Tables_number 1
_symmetry_space_group_name_Hall 'P 1'
loop_
_atom_site_label
_atom_site_type_symbol
_atom_site_fract_x
_atom_site_fract_y
_atom_site_fract_z
K1 K 0.000 0.000 0.000
Pb1 Pb 0.000 0.500 0.500
Pb2 Pb 0.500 0.000 0.500
Pb3 Pb 0.500 0.500 0.000
```

Entry from Alexandria via LeMat-Bulk: a relaxed Cs3U2CuSe6 crystal (GGA-PBE).

Computed properties:
Energy = -5.21 eV per atom
Energy relative to the elements, uncorrected = -1027 meV per atom
Volume = 32.89 Å³/atom

```
data_Cs3U2CuSe6
_chemical_formula_sum 'Cs3 U2 Cu1 Se6'
_cell_length_a 7.604
_cell_length_b 7.604
_cell_length_c 8.561
_cell_angle_alpha 97.12
_cell_angle_beta 97.12
_cell_angle_gamma 124.20
_symmetry_space_group_name_H-M 'P 1'
_symmetry_Int_Tables_number 1
_symmetry_space_group_name_Hall 'P 1'
loop_
_atom_site_label
_atom_site_type_symbol
_atom_site_fract_x
_atom_site_fract_y
_atom_site_fract_z
Cs1 Cs 0.000 0.000 0.000
Cs2 Cs 0.349 0.651 0.000
Cs3 Cs 0.651 0.349 0.000
U1 U 0.165 0.835 0.500
U2 U 0.835 0.165 0.500
Cu1 Cu 0.500 0.500 0.500
Se1 Se 0.069 0.444 0.303
Se2 Se 0.251 0.251 0.652
Se3 Se 0.444 0.069 0.303
Se4 Se 0.556 0.931 0.697
Se5 Se 0.749 0.749 0.348
Se6 Se 0.931 0.556 0.697
```

Entry from Alexandria via LeMat-Bulk: a relaxed Mg6CdRh2 crystal (GGA-PBE).

Computed properties:
Energy = -3.02 eV per atom
Energy relative to the lowest polymorph listed for this composition = 43 meV per atom
Energy of formation from the pure elements = -226 meV/atom
Volume = 19.91 Å³/atom

```
data_Mg6CdRh2
_chemical_formula_sum 'Mg6 Cd1 Rh2'
_cell_length_a 6.647
_cell_length_b 6.647
_cell_length_c 9.998
_cell_angle_alpha 114.52
_cell_angle_beta 114.52
_cell_angle_gamma 26.65
_symmetry_space_group_name_H-M 'P 1'
_symmetry_Int_Tables_number 1
_symmetry_space_group_name_Hall 'P 1'
loop_
_atom_site_label
_atom_site_type_symbol
_atom_site_fract_x
_atom_site_fract_y
_atom_site_fract_z
Mg1 Mg 0.016 0.016 0.207
Mg2 Mg 0.246 0.246 0.630
Mg3 Mg 0.324 0.324 0.948
Mg4 Mg 0.676 0.676 0.052
Mg5 Mg 0.754 0.754 0.370
Mg6 Mg 0.984 0.984 0.793
Cd1 Cd 0.000 0.000 0.500
Rh1 Rh 0.357 0.357 0.239
Rh2 Rh 0.643 0.643 0.761
```

Entry from Alexandria via LeMat-Bulk: a relaxed ZrAlRh crystal (GGA-PBE).

Computed properties:
Energy = -7.13 eV per atom
Energy of formation from the pure elements = -583 meV/atom
Volume = 19.79 Å³/atom

```
data_ZrAlRh
_chemical_formula_sum 'Zr1 Al1 Rh1'
_cell_length_a 4.379
_cell_length_b 4.379
_cell_length_c 4.379
_cell_angle_alpha 60.00
_cell_angle_beta 60.00
_cell_angle_gamma 60.00
_symmetry_space_group_name_H-M 'P 1'
_symmetry_Int_Tables_number 1
_symmetry_space_group_name_Hall 'P 1'
loop_
_atom_site_label
_atom_site_type_symbol
_atom_site_fract_x
_atom_site_fract_y
_atom_site_fract_z
Zr1 Zr 0.000 0.000 0.000
Al1 Al 0.500 0.500 0.500
Rh1 Rh 0.250 0.250 0.250
```

Entry from Alexandria via LeMat-Bulk: a relaxed Sr2Mg3Cd5 crystal (GGA-PBE).

Computed properties:
Energy = -1.47 eV per atom
Energy of formation from the pure elements = -198 meV/atom
Volume = 27.89 Å³/atom

```
data_Sr2Mg3Cd5
_chemical_formula_sum 'Sr4 Mg6 Cd10'
_cell_length_a 9.852
_cell_length_b 9.852
_cell_length_c 9.852
_cell_angle_alpha 107.48
_cell_angle_beta 85.76
_cell_angle_gamma 140.68
_symmetry_space_group_name_H-M 'P 1'
_symmetry_Int_Tables_number 1
_symmetry_space_group_name_Hall 'P 1'
loop_
_atom_site_label
_atom_site_type_symbol
_atom_site_fract_x
_atom_site_fract_y
_atom_site_fract_z
Sr1 Sr 0.132 0.231 0.364
Sr2 Sr 0.368 0.731 0.099
Sr3 Sr 0.632 0.269 0.901
Sr4 Sr 0.868 0.769 0.636
Mg1 Mg 0.146 0.908 0.054
Mg2 Mg 0.250 0.750 0.500
Mg3 Mg 0.354 0.408 0.762
Mg4 Mg 0.646 0.592 0.238
Mg5 Mg 0.750 0.250 0.500
Mg6 Mg 0.854 0.092 0.946
Cd1 Cd 0.043 0.750 0.293
Cd2 Cd 0.104 0.670 0.774
Cd3 Cd 0.250 0.250 0.000
Cd4 Cd 0.396 0.170 0.566
Cd5 Cd 0.457 0.750 0.707
Cd6 Cd 0.543 0.250 0.293
Cd7 Cd 0.604 0.830 0.434
Cd8 Cd 0.750 0.750 0.000
Cd9 Cd 0.896 0.330 0.226
Cd10 Cd 0.957 0.250 0.707
```

Entry from Alexandria via LeMat-Bulk: a relaxed CsZnCd2Hg crystal (GGA-PBE).

Computed properties:
Energy = -0.85 eV per atom
Energy of formation from the pure elements = -2 meV/atom
Volume = 32.66 Å³/atom

```
data_CsZnCd2Hg
_chemical_formula_sum 'Cs1 Zn1 Cd2 Hg1'
_cell_length_a 5.389
_cell_length_b 5.389
_cell_length_c 5.624
_cell_angle_alpha 90.00
_cell_angle_beta 90.00
_cell_angle_gamma 90.00
_symmetry_space_group_name_H-M 'P 1'
_symmetry_Int_Tables_number 1
_symmetry_space_group_name_Hall 'P 1'
loop_
_atom_site_label
_atom_site_type_symbol
_atom_site_fract_x
_atom_site_fract_y
_atom_site_fract_z
Cs1 Cs 0.000 0.000 0.000
Zn1 Zn 0.500 0.500 0.500
Cd1 Cd 0.000 0.500 0.500
Cd2 Cd 0.500 0.000 0.500
Hg1 Hg 0.500 0.500 0.000
```

Entry from Alexandria via LeMat-Bulk: a relaxed Ba2MgTl6Sn crystal (GGA-PBE).

Computed properties:
Energy = -2.57 eV per atom
Energy of formation from the pure elements = -203 meV/atom
Volume = 33.49 Å³/atom

```
data_Ba2MgTl6Sn
_chemical_formula_sum 'Ba2 Mg1 Tl6 Sn1'
_cell_length_a 6.370
_cell_length_b 7.926
_cell_length_c 7.972
_cell_angle_alpha 73.38
_cell_angle_beta 66.68
_cell_angle_gamma 66.43
_symmetry_space_group_name_H-M 'P 1'
_symmetry_Int_Tables_number 1
_symmetry_space_group_name_Hall 'P 1'
loop_
_atom_site_label
_atom_site_type_symbol
_atom_site_fract_x
_atom_site_fract_y
_atom_site_fract_z
Ba1 Ba 0.004 0.231 0.260
Ba2 Ba 0.996 0.769 0.740
Mg1 Mg 0.500 0.500 0.000
Tl1 Tl 0.006 0.683 0.300
Tl2 Tl 0.325 0.922 0.930
Tl3 Tl 0.489 0.318 0.698
Tl4 Tl 0.511 0.682 0.302
Tl5 Tl 0.675 0.078 0.070
Tl6 Tl 0.994 0.317 0.700
Sn1 Sn 0.500 0.000 0.500
```